Entry 1:
4
Lattice="5.0568 0.0000 0.0000 0.0000 4.2587 0.0000 -1.5694 0.0000 5.7765" Properties=species:S:1:pos:R:3 comment="TlSb2Pt PBE optimized geometry" space_group="Pm, No. 6" e_form_raw_ev_per_fu=-0.13 polymorph_energy_ev_per_fu=1.003 pbc="T T T"
Tl 0.0000 0.0000 0.0000
Sb 0.9014 0.0000 3.5441
Sb 2.7273 2.1294 2.6411
Pt 0.1694 2.1294 1.8830



Entry 2:
20
Lattice="2.2881 -13.4897 0.0000 2.2881 13.4897 0.0000 0.0000 0.0000 7.4873" Properties=species:S:1:pos:R:3 comment="Sr2In5Ir3 PBE optimized geometry" space_group="Cmc2_1, No. 36" delta_e_f_ev_per_atom=-0.3057 pbc="T T T"
Sr 2.2881 12.8162 3.7436
Sr 2.2881 4.6933 3.2789
Sr 2.2881 -4.6933 7.0226
Sr 2.2881 -12.8162 0.0000
In 2.2881 10.8758 0.9130
In 2.2881 7.9081 4.7435
In 2.2881 7.7760 1.7221
In 2.2881 3.4096 7.2905
In 2.2881 1.3973 2.4698
In 2.2881 -1.3973 6.2134
In 2.2881 -3.4096 3.5469
In 2.2881 -7.7760 5.4657
In 2.2881 -7.9081 0.9999
In 2.2881 -10.8758 4.6567
Ir 2.2881 10.5248 5.6249
Ir 2.2881 6.1685 6.9524
Ir 2.2881 1.3204 5.3481
Ir 2.2881 -1.3204 1.6045
Ir 2.2881 -6.1685 3.2088
Ir 2.2881 -10.5248 1.8813



Entry 3:
4
Lattice="1.4062 0.8119 7.4338 -1.4062 0.8119 7.4338 0.0000 -1.6238 7.4338" Properties=species:S:1:pos:R:3 comment="BeSiOs2 PBE optimized geometry" space_group="R-3m, No. 166" e_form_raw_ev_per_fu=0.09 pbc="T T T"
Be 0.0000 0.0000 0.0000
Si 0.0000 0.0000 11.1507
Os 0.0000 0.0000 5.5980
Os 0.0000 0.0000 16.7034



Entry 4:
23
Lattice="6.2749 0.0000 0.0000 0.0000 6.2749 0.0000 0.0000 0.0000 11.2154" Properties=species:S:1:pos:R:3 comment="Ce4Ga16Pt3 PBE optimized geometry" space_group="P4/mmm, No. 123" delta_e_f_ev_per_atom=-0.6507 pbc="T T T"
Ce 0.0000 3.1374 2.1411
Ce 0.0000 3.1374 9.0743
Ce 3.1374 0.0000 2.1411
Ce 3.1374 0.0000 9.0743
Ga 0.0000 0.0000 2.2559
Ga 0.0000 0.0000 8.9596
Ga 1.3186 1.3186 0.0000
Ga 1.3186 4.9563 0.0000
Ga 1.5471 1.5471 4.2252
Ga 1.5471 1.5471 6.9902
Ga 1.5471 4.7278 4.2252
Ga 1.5471 4.7278 6.9902
Ga 3.1374 3.1374 2.5876
Ga 3.1374 3.1374 8.6278
Ga 4.7278 1.5471 4.2252
Ga 4.7278 1.5471 6.9902
Ga 4.7278 4.7278 4.2252
Ga 4.7278 4.7278 6.9902
Ga 4.9563 1.3186 0.0000
Ga 4.9563 4.9563 0.0000
Pt 0.0000 3.1374 5.6077
Pt 3.1374 0.0000 5.6077
Pt 3.1374 3.1374 0.0000